No. 1
A geometry-optimized YAlGa3 structure. Source: Alexandria via LeMat-Bulk, functional GGA-PBE.

The structure in POSCAR format:
```
YAlGa3
1.0
9.530 0.000 0.000
0.000 2.999 0.000
0.000 0.000 7.711
Y Al Ga
2 2 6
direct
0.250 0.000 0.223
0.750 0.000 0.777
0.250 0.500 0.846
0.750 0.500 0.154
0.000 0.500 0.000
0.031 0.500 0.654
0.469 0.500 0.654
0.500 0.500 0.000
0.531 0.500 0.346
0.969 0.500 0.346
```

Summary:
- Spin magnetization: 0.0000 μB/atom
- Energy relative to the elements: -0.3 eV/f.u.
- Relative energy among the computed polymorphs: 207 meV per atom

No. 2
A geometry-optimized YAl2Ga2 structure. Source: Alexandria via LeMat-Bulk, functional GGA-PBE.

The structure in POSCAR format:
```
YAl2Ga2
1.0
-2.345 3.159 6.713
2.345 -3.159 6.713
2.345 3.159 -6.713
Y Al Ga
2 4 4
direct
0.365 0.115 0.250
0.635 0.885 0.750
0.128 0.878 0.250
0.222 0.472 0.750
0.778 0.528 0.250
0.872 0.122 0.750
0.173 0.698 0.475
0.277 0.302 0.975
0.723 0.698 0.025
0.827 0.302 0.525
```

Summary:
- Spin magnetization: 0.0000 μB/atom
- Energy relative to the elements: -1.4 eV/f.u.

No. 3
A geometry-optimized YAlGa4 structure. Source: Alexandria via LeMat-Bulk, functional GGA-PBE.

The structure in POSCAR format:
```
YAlGa4
1.0
2.876 -4.430 0.000
2.876 4.430 0.000
-1.677 0.000 4.721
Y Al Ga
1 1 4
direct
0.000 0.000 0.000
0.500 0.500 0.500
0.194 0.806 0.500
0.347 0.653 0.000
0.653 0.347 0.000
0.806 0.194 0.500
```

Summary:
- Spin magnetization: 0.0000 μB/atom
- Energy relative to the elements: -1.1 eV/f.u.

No. 4
A geometry-optimized YAlGa6 structure. Source: Alexandria via LeMat-Bulk, functional GGA-PBE.

The structure in POSCAR format:
```
YAlGa6
1.0
6.214 0.000 0.000
0.000 6.214 0.000
0.000 0.000 3.937
Y Al Ga
1 1 6
direct
0.000 0.000 0.000
0.500 0.500 0.000
0.000 0.500 0.000
0.269 0.269 0.500
0.269 0.731 0.500
0.500 0.000 0.000
0.731 0.269 0.500
0.731 0.731 0.500
```

Summary:
- Spin magnetization: 0.0000 μB/atom
- Energy relative to the elements: -1.8 eV/f.u.
- Relative energy among the computed polymorphs: 0 meV per atom